Record 1
# TlTcI3 (GGA-PBE, optimized geometry)
data_TlTcI3
_chemical_formula_sum 'Tl2 Tc2 I6'
_symmetry_space_group_name_H-M 'P 1'
_symmetry_Int_Tables_number 1
_symmetry_space_group_name_Hall 'P 1'
_cell_length_a 3.7818
_cell_length_b 9.8226
_cell_length_c 11.4497
_cell_angle_alpha 102.71
_cell_angle_beta 90.04
_cell_angle_gamma 101.10
loop_
_atom_site_label
_atom_site_type_symbol
_atom_site_fract_x
_atom_site_fract_y
_atom_site_fract_z
Tl1 Tl 0.0000 0.0000 0.0000
Tl2 Tl 0.1444 0.2855 0.3060
Tc1 Tc 0.3417 0.6846 0.6091
Tc2 Tc 0.8018 0.6020 0.6968
I1 I 0.3166 0.6306 0.8840
I2 I 0.4780 0.9580 0.7052
I3 I 0.4924 0.9816 0.2524
I4 I 0.6532 0.3041 0.0536
I5 I 0.6653 0.3285 0.6008
I6 I 0.8270 0.6557 0.4218
# **Formation energy from raw total energies**: -142.1 meV/atom
# **Excess energy over the best structure of this formula in the dataset**: 0 meV per atom
# **Spin magnetization**: 0.00 Bohr magnetons per cell
# **DFT total energy**: -3.619 eV/atom

=====

Record 2
# TlTcI3 (GGA-PBE, optimized geometry)
data_TlTcI3
_chemical_formula_sum 'Tl1 Tc1 I3'
_symmetry_space_group_name_H-M 'P m -3 m'
_symmetry_Int_Tables_number 221
_symmetry_space_group_name_Hall '-P 4 2 3'
_cell_length_a 6.1141
_cell_length_b 6.1141
_cell_length_c 6.1141
_cell_angle_alpha 90.00
_cell_angle_beta 90.00
_cell_angle_gamma 90.00
loop_
_atom_site_label
_atom_site_type_symbol
_atom_site_fract_x
_atom_site_fract_y
_atom_site_fract_z
Tl1 Tl 0.0000 0.0000 0.0000
Tc1 Tc 0.5000 0.5000 0.5000
I1 I 0.0000 0.0000 0.5000
# **Formation energy from raw total energies**: 878.7 meV/atom
# **Excess energy over the best structure of this formula in the dataset**: 1021 meV per atom
# **Spin magnetization**: 5.46 Bohr magnetons per cell
# **DFT total energy**: -2.598 eV/atom

=====

Record 3
# Tl2TcI6 (GGA-PBE, optimized geometry)
data_Tl2TcI6
_chemical_formula_sum 'Tl4 Tc2 I12'
_symmetry_space_group_name_H-M 'P 1 21/c 1'
_symmetry_Int_Tables_number 14
_symmetry_space_group_name_Hall '-P 2ybc'
_cell_length_a 8.1196
_cell_length_b 9.3395
_cell_length_c 14.4153
_cell_angle_alpha 90.00
_cell_angle_beta 124.28
_cell_angle_gamma 90.00
loop_
_atom_site_label
_atom_site_type_symbol
_atom_site_fract_x
_atom_site_fract_y
_atom_site_fract_z
Tl1 Tl 0.2157 0.9998 0.2158
Tc1 Tc 0.5000 0.0000 0.0000
I1 I 0.2025 0.1728 0.8370
I2 I 0.2198 0.6670 0.5000
I3 I 0.4701 0.6719 0.3362
# **Formation energy from raw total energies**: -324.0 meV/atom
# **Spin magnetization**: 5.91 Bohr magnetons per cell
# **DFT total energy**: -3.035 eV/atom

=====

Record 4
# TlTcI5 (GGA-PBE, optimized geometry)
data_TlTcI5
_chemical_formula_sum 'Tl4 Tc4 I20'
_symmetry_space_group_name_H-M 'C 1 2/c 1'
_symmetry_Int_Tables_number 15
_symmetry_space_group_name_Hall '-C 2yc'
_cell_length_a 16.0619
_cell_length_b 8.4104
_cell_length_c 10.4896
_cell_angle_alpha 90.00
_cell_angle_beta 111.56
_cell_angle_gamma 90.00
loop_
_atom_site_label
_atom_site_type_symbol
_atom_site_fract_x
_atom_site_fract_y
_atom_site_fract_z
Tl1 Tl 0.0000 0.0574 0.2500
Tc1 Tc 0.0000 0.5000 0.0000
I1 I 0.0000 0.3792 0.7500
I2 I 0.1293 0.2815 0.5207
I3 I 0.1298 0.2821 0.1253
# **Formation energy from raw total energies**: -193.9 meV/atom
# **Spin magnetization**: 11.86 Bohr magnetons per cell
# **DFT total energy**: -3.120 eV/atom

=====

Record 5
# TlTc3I (GGA-PBE, optimized geometry)
data_TlTc3I
_chemical_formula_sum 'Tl1 Tc3 I1'
_symmetry_space_group_name_H-M 'P m -3 m'
_symmetry_Int_Tables_number 221
_symmetry_space_group_name_Hall '-P 4 2 3'
_cell_length_a 4.8761
_cell_length_b 4.8761
_cell_length_c 4.8761
_cell_angle_alpha 90.00
_cell_angle_beta 90.00
_cell_angle_gamma 90.00
loop_
_atom_site_label
_atom_site_type_symbol
_atom_site_fract_x
_atom_site_fract_y
_atom_site_fract_z
Tl1 Tl 0.0000 0.0000 0.0000
Tc1 Tc 0.0000 0.5000 0.5000
I1 I 0.5000 0.5000 0.5000
# **Formation energy from raw total energies**: 1897.0 meV/atom
# **Excess energy over the best structure of this formula in the dataset**: 0 meV per atom
# **Spin magnetization**: 3.07 Bohr magnetons per cell
# **DFT total energy**: -5.106 eV/atom

=====

Record 6
# Tm4TcI5 (GGA-PBE, optimized geometry)
data_Tm4TcI5
_chemical_formula_sum 'Tm8 Tc2 I10'
_symmetry_space_group_name_H-M 'C 1 2/m 1'
_symmetry_Int_Tables_number 12
_symmetry_space_group_name_Hall '-C 2y'
_cell_length_a 19.4867
_cell_length_b 3.9129
_cell_length_c 9.3542
_cell_angle_alpha 90.00
_cell_angle_beta 103.31
_cell_angle_gamma 90.00
loop_
_atom_site_label
_atom_site_type_symbol
_atom_site_fract_x
_atom_site_fract_y
_atom_site_fract_z
Tm1 Tm 0.0001 0.0000 0.2186
Tm2 Tm 0.1336 0.5000 0.0676
Tc1 Tc 0.0000 0.5000 0.0000
I1 I 0.0000 0.5000 0.5000
I2 I 0.1673 0.0000 0.3296
I3 I 0.1729 0.0000 0.8403
# **Formation energy from raw total energies**: -904.4 meV/atom
# **Spin magnetization**: 0.00 Bohr magnetons per cell
# **DFT total energy**: -4.505 eV/atom